Entry 1:
Density functional theory data (PBE-GGA) for a relaxed structure of SrGe3P.

- Fermi-level density of states (states/eV per atom) = 0.452
- ΔE_f (eV/atom) = 0.14
- space group = Pm-3m, No. 221
- total energy (Ry/atom) = -0.298

The structure in POSCAR format:
```
SrGe3P
1.0
4.9683 0.0000 0.0000
0.0000 4.9683 0.0000
0.0000 0.0000 4.9683
Sr P Ge
1 1 3
Cartesian
2.4842 2.4842 2.4842 Sr
0.0000 0.0000 0.0000 P
0.0000 0.0000 2.4842 Ge
2.4842 0.0000 0.0000 Ge
0.0000 2.4842 0.0000 Ge
```



Entry 2:
Density functional theory data (PBE-GGA) for a relaxed structure of Ti2TeSe6.

- Fermi-level density of states (states/eV per atom) = 0.046
- space group = C2/m, No. 12
- total energy (Ry/atom) = -0.379
- raw formation energy (meV/atom) = -726.0

The structure in POSCAR format:
```
Ti2TeSe6
1.0
3.6055 0.0000 -0.8261
-0.5197 7.7433 -2.2684
0.1573 -0.3869 8.9676
Ti Se Te
2 6 1
Cartesian
2.7382 4.8184 3.6694 Ti
0.5049 2.5380 2.2037 Ti
3.3118 5.3135 6.1729 Se
-0.0687 2.0429 -0.2997 Se
2.3981 0.7562 2.1853 Se
2.1878 4.2859 1.2674 Se
1.0553 3.0705 4.6058 Se
0.8450 6.6002 3.6878 Se
1.8028 0.0000 -0.4131 Te
```



Entry 3:
Density functional theory data (PBE-GGA) for a relaxed structure of CaScPd6.

- Fermi-level density of states (states/eV per atom) = 0.818
- ΔE_f (eV/atom) = -0.67
- space group = P4/mmm, No. 123
- total energy (Ry/atom) = -0.412

The structure in POSCAR format:
```
CaScPd6
1.0
4.0746 0.0000 0.0000
0.0000 4.0746 0.0000
0.0000 0.0000 8.1198
Pd Ca Sc
6 1 1
Cartesian
2.0373 0.0000 2.1283 Pd
2.0373 2.0373 4.0599 Pd
2.0373 0.0000 5.9915 Pd
0.0000 2.0373 5.9915 Pd
0.0000 2.0373 2.1283 Pd
2.0373 2.0373 0.0000 Pd
0.0000 0.0000 0.0000 Ca
0.0000 0.0000 4.0599 Sc
```



Entry 4:
Density functional theory data (PBE-GGA) for a relaxed structure of Cr2RhW.

- Fermi-level density of states (states/eV per atom) = 1.547
- ΔE_f (eV/atom) = 0.19
- space group = C2/m, No. 12
- total energy (Ry/atom) = -0.713

The structure in POSCAR format:
```
Cr2RhW
1.0
4.9890 -0.0002 -0.0006
-2.2688 4.4271 -0.0024
0.4515 0.7578 2.4742
Rh Cr W
1 2 1
Cartesian
-0.9086 2.5924 1.2359 Rh
2.7202 0.3788 1.2368 Cr
0.0000 0.0000 0.0000 Cr
1.3601 2.2135 -0.0015 W
```



Entry 5:
Density functional theory data (PBE-GGA) for a relaxed structure of ScTcSn2.

- Fermi-level density of states (states/eV per atom) = 0.810
- ΔE_f (eV/atom) = -0.18
- space group = P4/mmm, No. 123
- total energy (Ry/atom) = -0.467

The structure in POSCAR format:
```
ScTcSn2
1.0
3.3326 0.0000 0.0000
0.0000 3.3326 0.0000
0.0000 0.0000 7.2327
Sc Tc Sn
1 1 2
Cartesian
1.6663 1.6663 3.6163 Sc
1.6663 1.6663 0.0000 Tc
0.0000 0.0000 5.6770 Sn
0.0000 0.0000 1.5557 Sn
```



Entry 6:
Density functional theory data (PBE-GGA) for a relaxed structure of FePd8Au2.

- Fermi-level density of states (states/eV per atom) = 0.992
- ΔE_f (eV/atom) = 0.14
- space group = C2/m, No. 12
- total energy (Ry/atom) = -0.368

The structure in POSCAR format:
```
FePd8Au2
1.0
4.9327 1.8289 0.0000
3.0129 7.0751 0.0000
1.5064 3.5376 6.2446
Pd Au Fe
8 2 1
Cartesian
5.4792 7.9896 2.7160 Pd
2.8496 3.3364 0.0000 Pd
5.0960 5.5676 0.0000 Pd
3.9728 4.4520 3.5286 Pd
2.8155 5.7617 1.3481 Pd
6.6365 6.6799 4.8964 Pd
5.1301 3.1424 1.3481 Pd
4.3220 9.2992 4.8964 Pd
1.5064 3.5375 2.4325 Au
3.0129 7.0751 3.8121 Au
2.4664 0.9145 0.0000 Fe
```



Entry 7:
Density functional theory data (PBE-GGA) for a relaxed structure of MgZrTe2.

- Fermi-level density of states (states/eV per atom) = 0.353
- space group = P2/m, No. 10
- total energy (Ry/atom) = -0.350
- raw formation energy (meV/atom) = -655.5

The structure in POSCAR format:
```
MgZrTe2
1.0
-2.1088 -1.4549 -2.6537
2.3801 -2.8024 -0.3549
-1.9182 -5.7187 4.6595
Zr Te Mg
1 2 1
Cartesian
-0.9389 -2.8577 -0.2507 Zr
2.1484 -2.6638 -0.2468 Te
0.4627 -4.3992 2.0442 Te
-0.7079 -7.1183 1.9016 Mg
```



Entry 8:
Density functional theory data (PBE-GGA) for a relaxed structure of Tl2PtBr4.

- Fermi-level density of states (states/eV per atom) = 0.073
- space group = I4/mmm, No. 139
- total energy (Ry/atom) = -0.224
- raw formation energy (meV/atom) = -546.4

The structure in POSCAR format:
```
Tl2PtBr4
1.0
-3.3587 2.5928 -3.2524
1.6373 -3.0187 -4.0973
-6.6066 -5.5780 -2.0182
Tl Br Pt
2 4 1
Cartesian
-2.3989 -1.6492 -3.2314 Tl
-5.9291 -4.3547 -6.1366 Tl
-3.5229 -2.1080 -6.8303 Br
0.8186 -1.5094 -2.0487 Br
-1.6793 1.2964 -1.6262 Br
-4.8051 -3.8959 -2.5376 Br
0.0000 0.0000 0.0000 Pt
```